A plane-wave DFT calculation with PBE was carried out for a geometry-optimized Ba2SnHg6Pb structure.

## Properties
Electronic total energy: -14.46 eV per cell
Energy relative to the elements: -0.11 eV/atom

abc: 8.119 8.119 8.119
angles: 60.00 60.00 60.00
Fractional positions:
Ba: 0.250 0.250 0.250
Ba: 0.750 0.750 0.750
Sn: 0.000 0.000 0.000
Hg: 0.246 0.246 0.754
Hg: 0.246 0.754 0.246
Hg: 0.246 0.754 0.754
Hg: 0.754 0.246 0.246
Hg: 0.754 0.246 0.754
Hg: 0.754 0.754 0.246
Pb: 0.500 0.500 0.500



A plane-wave DFT calculation with PBE was carried out for a geometry-optimized BaSn2HgPb structure.

## Properties
Electronic total energy: -15.51 eV per cell
Energy relative to the elements: -0.31 eV/atom

abc: 7.611 7.611 7.611
angles: 145.02 138.85 55.09
Fractional positions:
Ba: 0.000 0.000 0.000
Sn: 0.613 0.613 0.000
Sn: 0.767 0.267 0.500
Hg: 0.395 0.395 0.000
Pb: 0.240 0.740 0.500



Which formula does entry 1 have?
Ba2SnHg6Pb



Please write out number 2 again, unchanged.
A plane-wave DFT calculation with PBE was carried out for a geometry-optimized BaSn2HgPb structure.

## Properties
Electronic total energy: -15.51 eV per cell
Energy relative to the elements: -0.31 eV/atom

abc: 7.611 7.611 7.611
angles: 145.02 138.85 55.09
Fractional positions:
Ba: 0.000 0.000 0.000
Sn: 0.613 0.613 0.000
Sn: 0.767 0.267 0.500
Hg: 0.395 0.395 0.000
Pb: 0.240 0.740 0.500